[1]
First-principles (PBE-GGA) data for a relaxed structure of Ce2ZnNi3Ge4, as listed in Alexandria.

```
Ce2ZnNi3Ge4
1.0
4.1577 0.0000 0.0000
0.0000 4.1577 0.0000
0.0000 0.0000 9.8548
Ce Zn Ni Ge
2 1 3 4
direct
0.0000 0.5000 0.2449
0.5000 0.0000 0.7551
0.0000 0.0000 0.5000
0.0000 0.5000 0.8790
0.5000 0.0000 0.1210
0.5000 0.5000 0.5000
0.0000 0.0000 0.0000
0.0000 0.5000 0.6412
0.5000 0.0000 0.3588
0.5000 0.5000 0.0000
```

Output
Symmetry   P-4m2
Crystal system   tetragonal

[2]
First-principles (PBE-GGA) data for a relaxed structure of DyAgRh, as listed in Alexandria.

```
DyAgRh
1.0
4.9033 0.0000 0.0000
-2.4517 4.2464 0.0000
0.0000 0.0000 5.6529
Dy Ag Rh
2 2 2
direct
0.3333 0.6667 0.2500
0.6667 0.3333 0.7500
0.0000 0.0000 0.0000
0.0000 0.0000 0.5000
0.3333 0.6667 0.7500
0.6667 0.3333 0.2500
```

Output
Symmetry   P6_3/mmc
Crystal system   hexagonal

[3]
First-principles (PBE-GGA) data for a relaxed structure of HoNpSe2N, as listed in Alexandria.

```
HoNpSe2N
1.0
3.9120 0.0000 0.0000
0.0000 3.9120 0.0000
0.0000 0.0000 14.4259
Ho Np Se N
2 2 4 2
direct
0.2500 0.2500 0.1245
0.7500 0.7500 0.8755
0.2500 0.2500 0.5781
0.7500 0.7500 0.4219
0.2500 0.2500 0.3119
0.2500 0.2500 0.9103
0.7500 0.7500 0.0897
0.7500 0.7500 0.6881
0.2500 0.7500 0.5000
0.7500 0.2500 0.5000
```

Output
Symmetry   P4/nmm
Crystal system   tetragonal
Formation energy (no corrections)   -1.5221 eV per atom

Computed electronic total energy, in the same sequence as the records: -5.55; -5.43; -8.08 eV/atom.